1 | BeGeTe2N | PBE-GGA | optimized geometry

Unit cell a=5.661 b=5.661 c=3.094 alpha=90.00 beta=90.00 gamma=90.00
Element x y z (fractional)
Be (0.000, 0.000, 0.000)
Ge (0.500, 0.500, 0.500)
Te (0.000, 0.500, 0.000)
Te (0.500, 0.000, 0.000)
N (0.000, 0.000, 0.500)

Calculated values
* M_tot: 0.00 μB/cell
* space-group type: No. 123


2 | BeGeTe2N | PBE-GGA | optimized geometry

Unit cell a=5.604 b=5.604 c=3.501 alpha=90.00 beta=90.00 gamma=90.00
Element x y z (fractional)
Be (0.500, 0.500, 0.500)
Ge (0.000, 0.000, 0.000)
Te (0.000, 0.500, 0.000)
Te (0.500, 0.000, 0.000)
N (0.000, 0.000, 0.500)

Calculated values
* M_tot: 0.00 μB/cell
* space-group type: No. 123


1 is preferred energetically. Next in line: 0.634 eV/atom higher.